Below is crystalline BaTaRe2 at its relaxed geometry, with properties calculated at the PBE level.

## Properties
Total moment, μB per cell: 0.000
Energy relative to the lowest polymorph listed for this composition, eV per atom: 0.000
Calculated density, g cm⁻³: 13.039
Energy of formation, kcal/mol of atoms: 15.0
Symmetry: No. 123

Unit cell a=3.3297 b=3.3297 c=7.9338 alpha=90.00 beta=90.00 gamma=90.00
Closest atoms and distances in Å follow each position.
Positions (direct):
1 Re 0.0000 0.0000 0.0803  1 Re 2.69, 4 Ta 2.71
2 Re 0.0000 0.0000 0.4197  1 Re 2.69, 4 Ta 2.71
3 Ba 0.5000 0.5000 0.7500  4 Ba 3.33, 8 Re 3.52
4 Ta 0.5000 0.5000 0.2500  8 Re 2.71



Below is crystalline CaWCl3 at its relaxed geometry, with properties calculated at the PBE level.

## Properties
Formation energy from raw total energies, eV/atom: -0.117
Total moment, μB per cell: 5.000
Energy relative to the lowest polymorph listed for this composition, eV per atom: 0.106
Calculated density, g cm⁻³: 3.686
Symmetry: No. 221

Unit cell a=5.2991 b=5.2991 c=5.2991 alpha=90.00 beta=90.00 gamma=90.00
Closest atoms and distances in Å follow each position.
Positions (direct):
1 Cl 0.0000 0.0000 0.5000  2 Ca 2.65
2 Cl 0.5000 0.0000 0.0000  2 Ca 2.65
3 Cl 0.0000 0.5000 0.0000  2 Ca 2.65
4 Ca 0.0000 0.0000 0.0000  6 Cl 2.65
5 W 0.5000 0.5000 0.5000  12 Cl 3.75



Below is crystalline Pr2YTe at its relaxed geometry, with properties calculated at the PBE level.

## Properties
Formation energy from raw total energies, eV/atom: -0.531
Total moment, μB per cell: 0.666
Energy relative to the lowest polymorph listed for this composition, eV per atom: 0.045
Calculated density, g cm⁻³: 5.844
Symmetry: No. 166

Unit cell a=4.0227 b=4.0227 c=10.3665 alpha=78.81 beta=78.81 gamma=60.00
Closest atoms and distances in Å follow each position.
Positions (direct):
1 Y 0.5000 0.5000 0.5000  6 Pr 3.69, 6 Y 4.02
2 Te 0.0000 0.0000 0.0000  6 Pr 3.19
3 Pr 0.7387 0.7387 0.7838  3 Te 3.19
4 Pr 0.2613 0.2613 0.2162  3 Te 3.19



Below is crystalline Y8As3PS4 at its relaxed geometry, with properties calculated at the PBE level.

## Properties
Formation energy from raw total energies, eV/atom: -1.823
Total moment, μB per cell: 0.000
Calculated density, g cm⁻³: 4.970
Symmetry: No. 166

Unit cell a=8.0453 b=8.0122 c=8.0452 alpha=120.14 beta=120.00 gamma=90.00
Closest atoms and distances in Å follow each position.
Positions (direct):
1 Y 0.2465 0.7478 0.0014  1 P 2.80, 3 S 2.83-2.88, 2 As 2.85
2 Y 0.2494 0.2482 0.4987  3 S 2.83, 3 As 2.85
3 Y 0.7536 0.2522 0.5071  1 P 2.80, 3 S 2.83-2.88, 2 As 2.85
4 Y 0.7535 0.2522 0.9986  1 P 2.80, 3 S 2.83-2.88, 2 As 2.85
5 Y 0.7506 0.7518 0.5013  3 S 2.83, 3 As 2.85
6 Y 0.2451 0.2522 0.9986  1 P 2.80, 3 S 2.83-2.88, 2 As 2.85
7 Y 0.2464 0.7478 0.4929  1 P 2.80, 3 S 2.83-2.88, 2 As 2.85
8 Y 0.7549 0.7478 0.0014  1 P 2.80, 3 S 2.83-2.88, 2 As 2.85
9 As 0.5000 0.5000 0.5000  6 Y 2.85
10 As 0.5000 0.5000 0.0000  6 Y 2.85
11 As 0.0000 0.5000 0.5000  6 Y 2.85
12 P 0.0000 0.5000 0.0000  6 Y 2.80
13 S 0.0000 0.0000 0.5000  6 Y 2.83
14 S 0.0000 0.0000 0.0000  6 Y 2.83
15 S 0.5000 0.0000 0.0000  6 Y 2.88
16 S 0.5000 0.0000 0.5000  6 Y 2.83



Below is crystalline K2YCr at its relaxed geometry, with properties calculated at the PBE level.

## Properties
Total moment, μB per cell: 4.487
Energy relative to the lowest polymorph listed for this composition, eV per atom: 0.280
Calculated density, g cm⁻³: 2.498
Energy of formation, kcal/mol of atoms: 19.6
Symmetry: No. 123

Unit cell a=6.5464 b=4.7172 c=4.7172 alpha=90.00 beta=90.00 gamma=90.00
Closest atoms and distances in Å follow each position.
Positions (direct):
1 K 0.0000 0.0000 0.0000  4 K 3.34
2 K 0.0000 0.5000 0.5000  4 K 3.34
3 Y 0.5000 0.5000 0.0000  4 Cr 3.34
4 Cr 0.5000 0.0000 0.5000  4 Y 3.34



Below is crystalline AgNClF2 at its relaxed geometry, with properties calculated at the PBE level.

## Properties
Formation energy from raw total energies, eV/atom: 0.507
Total moment, μB per cell: 1.108
Energy relative to the lowest polymorph listed for this composition, eV per atom: 0.012
Calculated density, g cm⁻³: 4.226
Symmetry: No. 123

Unit cell a=4.1848 b=4.1848 c=4.3826 alpha=90.00 beta=90.00 gamma=90.00
Closest atoms and distances in Å follow each position.
Positions (direct):
1 Ag 0.0000 0.0000 0.0000  4 F 2.09, 2 N 2.19
2 N 0.0000 0.0000 0.5000  2 Ag 2.19
3 F 0.0000 0.5000 0.0000  2 Ag 2.09
4 F 0.5000 0.0000 0.0000  2 Ag 2.09
5 Cl 0.5000 0.5000 0.5000  4 N 2.96, 8 F 3.03



Below is crystalline LiRh4Se8 at its relaxed geometry, with properties calculated at the PBE level.

## Properties
Formation energy from raw total energies, eV/atom: -0.442
Total moment, μB per cell: 0.000
Calculated density, g cm⁻³: 6.195
Symmetry: No. 216

Unit cell a=7.3565 b=7.3565 c=7.3565 alpha=60.00 beta=60.00 gamma=60.00
Closest atoms and distances in Å follow each position.
Positions (direct):
1 Rh 0.3720 0.8841 0.3720  6 Se 2.50-2.52
2 Rh 0.8841 0.3720 0.3720  6 Se 2.50-2.52
3 Rh 0.3720 0.3720 0.8841  6 Se 2.50-2.52
4 Rh 0.3720 0.3720 0.3720  6 Se 2.50-2.52
5 Se 0.1320 0.6041 0.1320  3 Rh 2.50
6 Se 0.6128 0.6128 0.1617  1 Li 2.47, 3 Rh 2.52
7 Se 0.1320 0.1320 0.6041  3 Rh 2.50
8 Se 0.1617 0.6128 0.6128  1 Li 2.47, 3 Rh 2.52
9 Se 0.6128 0.6128 0.6128  1 Li 2.47, 3 Rh 2.52
10 Se 0.6041 0.1320 0.1320  3 Rh 2.50
11 Se 0.1320 0.1320 0.1320  3 Rh 2.50
12 Se 0.6128 0.1617 0.6128  1 Li 2.47, 3 Rh 2.52
13 Li 0.7500 0.7500 0.7500  4 Se 2.47



Below is crystalline Ba2BiSe at its relaxed geometry, with properties calculated at the PBE level.

## Properties
Formation energy from raw total energies, eV/atom: -1.109
Total moment, μB per cell: 0.819
Energy relative to the lowest polymorph listed for this composition, eV per atom: 0.251
Calculated density, g cm⁻³: 6.254
Symmetry: No. 225

Unit cell a=5.9556 b=5.9556 c=5.9556 alpha=60.00 beta=60.00 gamma=60.00
Closest atoms and distances in Å follow each position.
Positions (direct):
1 Ba 0.7500 0.7500 0.7500  4 Se 3.65, 4 Bi 3.65
2 Ba 0.2500 0.2500 0.2500  4 Se 3.65, 4 Bi 3.65
3 Bi 0.5000 0.5000 0.5000  8 Ba 3.65
4 Se 0.0000 0.0000 0.0000  8 Ba 3.65



Below is crystalline YTcRh3 at its relaxed geometry, with properties calculated at the PBE level.

## Properties
Total moment, μB per cell: 0.000
Energy relative to the lowest polymorph listed for this composition, eV per atom: 0.000
Calculated density, g cm⁻³: 7.935
Energy of formation, kcal/mol of atoms: 8.7
Symmetry: No. 221

Unit cell a=4.6983 b=4.6983 c=4.6983 alpha=90.00 beta=90.00 gamma=90.00
Closest atoms and distances in Å follow each position.
Positions (direct):
1 Tc 0.0000 0.0000 0.0000  6 Rh 2.35
2 Rh 0.5000 0.0000 0.0000  2 Tc 2.35
3 Rh 0.0000 0.5000 0.0000  2 Tc 2.35
4 Rh 0.0000 0.0000 0.5000  2 Tc 2.35
5 Y 0.5000 0.5000 0.5000  12 Rh 3.32



Below is crystalline Ca4O3F2 at its relaxed geometry, with properties calculated at the PBE level.

## Properties
Formation energy from raw total energies, eV/atom: -3.233
Total moment, μB per cell: 0.000
Calculated density, g cm⁻³: 2.891
Symmetry: No. 12

Unit cell a=3.3943 b=5.9914 c=7.5108 alpha=79.31 beta=76.94 gamma=73.54
Closest atoms and distances in Å follow each position.
Positions (direct):
1 O 0.1999 0.4142 0.1860  5 Ca 2.29-2.40
2 O 0.0000 0.0000 0.0000  6 Ca 2.45-2.47
3 O 0.8001 0.5858 0.8140  5 Ca 2.29-2.40
4 F 0.6318 0.1167 0.6197  4 Ca 2.36-2.37
5 F 0.3682 0.8833 0.3803  4 Ca 2.36-2.37
6 Ca 0.7700 0.1656 0.2945  3 O 2.29-2.47, 3 F 2.36-2.37
7 Ca 0.2300 0.8344 0.7055  3 O 2.29-2.47, 3 F 2.36-2.37
8 Ca 0.4065 0.2947 0.8923  5 O 2.34-2.45, 1 F 2.36
9 Ca 0.5935 0.7053 0.1077  5 O 2.34-2.45, 1 F 2.36



Below is crystalline GdBiPb2 at its relaxed geometry, with properties calculated at the PBE level.

## Properties
Total moment, μB per cell: 7.472
Energy relative to the lowest polymorph listed for this composition, eV per atom: 0.512
Calculated density, g cm⁻³: 9.880
Energy of formation, kcal/mol of atoms: 3.4
Symmetry: No. 166

Unit cell a=3.5084 b=3.5084 c=12.4739 alpha=81.92 beta=81.92 gamma=60.00
Closest atoms and distances in Å follow each position.
Positions (direct):
1 Bi 0.5000 0.5000 0.5000  6 Bi 3.51, 6 Pb 3.57
2 Pb 0.0871 0.0871 0.7388  1 Gd 3.22, 6 Pb 3.51, 3 Bi 3.57
3 Pb 0.9129 0.9129 0.2612  1 Gd 3.22, 6 Pb 3.51, 3 Bi 3.57
4 Gd 0.0000 0.0000 0.0000  2 Pb 3.22, 6 Gd 3.51



Below is crystalline AgHg2Cl6 at its relaxed geometry, with properties calculated at the PBE level.

## Properties
Formation energy from raw total energies, eV/atom: -0.477
Total moment, μB per cell: 0.000
Energy relative to the lowest polymorph listed for this composition, eV per atom: 0.000
Calculated density, g cm⁻³: 4.138
Symmetry: No. 14

Unit cell a=9.3966 b=7.5750 c=8.1754 alpha=90.00 beta=90.00 gamma=84.56
Closest atoms and distances in Å follow each position.
Positions (direct):
1 Hg 0.8981 0.8202 0.6450  2 Cl 2.35-2.41
2 Hg 0.3981 0.3202 0.8550  2 Cl 2.35-2.41
3 Hg 0.6019 0.6798 0.1450  2 Cl 2.35-2.41
4 Hg 0.1019 0.1798 0.3550  2 Cl 2.35-2.41
5 Cl 0.0065 0.4821 0.3069  1 Hg 2.41, 1 Ag 2.51
6 Cl 0.6286 0.7043 0.5067  1 Ag 2.44
7 Cl 0.1286 0.2043 0.9933  1 Ag 2.44
8 Cl 0.4935 0.0179 0.8069  1 Hg 2.41, 1 Ag 2.51
9 Cl 0.1723 0.8833 0.4264  1 Hg 2.35
10 Cl 0.8714 0.7957 0.0067  1 Ag 2.44
11 Cl 0.3714 0.2957 0.4933  1 Ag 2.44
12 Cl 0.5065 0.9821 0.1931  1 Hg 2.41, 1 Ag 2.51
13 Cl 0.3277 0.6167 0.9264  1 Hg 2.35
14 Cl 0.6723 0.3833 0.0736  1 Hg 2.35
15 Cl 0.9935 0.5179 0.6931  1 Hg 2.41, 1 Ag 2.51
16 Cl 0.8277 0.1167 0.5736  1 Hg 2.35
17 Ag 0.0000 0.5000 0.0000  4 Cl 2.44-2.51
18 Ag 0.5000 0.0000 0.5000  4 Cl 2.44-2.51



Among the records above, which one has the lowest calculated density? K2YCr



Copy entry 12 word for word.
Below is crystalline AgHg2Cl6 at its relaxed geometry, with properties calculated at the PBE level.

## Properties
Formation energy from raw total energies, eV/atom: -0.477
Total moment, μB per cell: 0.000
Energy relative to the lowest polymorph listed for this composition, eV per atom: 0.000
Calculated density, g cm⁻³: 4.138
Symmetry: No. 14

Unit cell a=9.3966 b=7.5750 c=8.1754 alpha=90.00 beta=90.00 gamma=84.56
Closest atoms and distances in Å follow each position.
Positions (direct):
1 Hg 0.8981 0.8202 0.6450  2 Cl 2.35-2.41
2 Hg 0.3981 0.3202 0.8550  2 Cl 2.35-2.41
3 Hg 0.6019 0.6798 0.1450  2 Cl 2.35-2.41
4 Hg 0.1019 0.1798 0.3550  2 Cl 2.35-2.41
5 Cl 0.0065 0.4821 0.3069  1 Hg 2.41, 1 Ag 2.51
6 Cl 0.6286 0.7043 0.5067  1 Ag 2.44
7 Cl 0.1286 0.2043 0.9933  1 Ag 2.44
8 Cl 0.4935 0.0179 0.8069  1 Hg 2.41, 1 Ag 2.51
9 Cl 0.1723 0.8833 0.4264  1 Hg 2.35
10 Cl 0.8714 0.7957 0.0067  1 Ag 2.44
11 Cl 0.3714 0.2957 0.4933  1 Ag 2.44
12 Cl 0.5065 0.9821 0.1931  1 Hg 2.41, 1 Ag 2.51
13 Cl 0.3277 0.6167 0.9264  1 Hg 2.35
14 Cl 0.6723 0.3833 0.0736  1 Hg 2.35
15 Cl 0.9935 0.5179 0.6931  1 Hg 2.41, 1 Ag 2.51
16 Cl 0.8277 0.1167 0.5736  1 Hg 2.35
17 Ag 0.0000 0.5000 0.0000  4 Cl 2.44-2.51
18 Ag 0.5000 0.0000 0.5000  4 Cl 2.44-2.51



Repeat the third record exactly.
Below is crystalline Pr2YTe at its relaxed geometry, with properties calculated at the PBE level.

## Properties
Formation energy from raw total energies, eV/atom: -0.531
Total moment, μB per cell: 0.666
Energy relative to the lowest polymorph listed for this composition, eV per atom: 0.045
Calculated density, g cm⁻³: 5.844
Symmetry: No. 166

Unit cell a=4.0227 b=4.0227 c=10.3665 alpha=78.81 beta=78.81 gamma=60.00
Closest atoms and distances in Å follow each position.
Positions (direct):
1 Y 0.5000 0.5000 0.5000  6 Pr 3.69, 6 Y 4.02
2 Te 0.0000 0.0000 0.0000  6 Pr 3.19
3 Pr 0.7387 0.7387 0.7838  3 Te 3.19
4 Pr 0.2613 0.2613 0.2162  3 Te 3.19